Entry 1:
Here is a relaxed structure of Sb2HPdCl from the Alexandria database. Energies are from GGA-PBE.

Unit cell a=5.460 b=3.316 c=5.460 alpha=90.00 beta=90.00 gamma=90.00
Positions (direct):
Sb  0.000  0.000  0.500
Sb  0.500  0.000  0.000
Pd  0.000  0.000  0.000
H  0.000  0.500  0.000
Cl  0.500  0.500  0.500

Output
VASP energy (hartree per atom): -0.138
Total moment (Bohr magnetons per cell): 0.0
Fermi-level density of states (states/eV/f.u.): 2.21



Entry 2:
Here is a relaxed structure of SiTeHPdCl from the Alexandria database. Energies are from GGA-PBE.

Unit cell a=4.055 b=4.396 c=7.017 alpha=77.53 beta=76.38 gamma=86.24
Positions (direct):
H  0.996  0.618  0.973
Cl  0.500  0.922  0.149
Pd  0.276  0.536  0.774
Te  0.848  0.280  0.600
Si  0.680  0.786  0.871

Output
Energy relative to the lowest polymorph listed for this composition (meV per atom): 32
Total moment (Bohr magnetons per cell): 0.0
Fermi-level density of states (states/eV/f.u.): 0.03



Entry 3:
Here is a relaxed structure of SiTeHPdCl from the Alexandria database. Energies are from GGA-PBE.

Unit cell a=9.121 b=3.130 c=8.027 alpha=90.00 beta=109.53 gamma=90.00
Positions (direct):
Te  0.571  0.500  0.584
Te  0.571  0.000  0.084
H  0.926  0.000  0.329
H  0.926  0.500  0.829
Cl  0.168  0.500  0.669
Cl  0.168  0.000  0.169
Pd  0.771  0.000  0.436
Pd  0.771  0.500  0.936
Si  0.932  0.000  0.136
Si  0.932  0.500  0.636

Output
Energy relative to the lowest polymorph listed for this composition (meV per atom): 85
Total moment (Bohr magnetons per cell): 0.0
Fermi-level density of states (states/eV/f.u.): 1.63



Entry 4:
Here is a relaxed structure of SiTeHPdCl from the Alexandria database. Energies are from GGA-PBE.

Unit cell a=3.974 b=4.666 c=7.347 alpha=72.43 beta=74.66 gamma=64.76
Positions (direct):
Te  0.159  0.372  0.594
H  0.926  0.392  0.048
Pd  0.417  0.740  0.710
Si  0.839  0.707  0.905
Cl  0.593  0.997  0.111

Output
Energy relative to the lowest polymorph listed for this composition (meV per atom): 112
Total moment (Bohr magnetons per cell): 0.0
Fermi-level density of states (states/eV/f.u.): 1.07



Entry 5:
Here is a relaxed structure of SiTeHPdCl from the Alexandria database. Energies are from GGA-PBE.

Unit cell a=3.854 b=4.165 c=9.861 alpha=82.67 beta=82.15 gamma=62.67
Positions (direct):
Te  0.864  0.298  0.449
H  0.912  0.382  0.788
Cl  0.077  0.521  0.851
Si  0.549  0.078  0.240
Pd  0.213  0.702  0.304

Output
Energy relative to the lowest polymorph listed for this composition (meV per atom): 151
Total moment (Bohr magnetons per cell): 0.0
Fermi-level density of states (states/eV/f.u.): 0.40



Entry 6:
Here is a relaxed structure of SiTeHPdCl from the Alexandria database. Energies are from GGA-PBE.

Unit cell a=3.281 b=4.334 c=8.627 alpha=90.23 beta=100.70 gamma=112.11
Positions (direct):
Pd  0.178  0.648  0.770
H  0.440  0.020  0.923
Si  0.636  0.411  0.925
Te  0.793  0.056  0.585
Cl  0.830  0.563  0.165

Output
Energy relative to the lowest polymorph listed for this composition (meV per atom): 0
Total moment (Bohr magnetons per cell): 0.0
Fermi-level density of states (states/eV/f.u.): 1.04



Entry 7:
Here is a relaxed structure of SiTeHPdCl from the Alexandria database. Energies are from GGA-PBE.

Unit cell a=7.635 b=4.116 c=8.933 alpha=90.00 beta=109.18 gamma=90.00
Positions (direct):
Te  0.377  0.500  0.240
Te  0.377  0.000  0.740
Cl  0.795  0.500  0.078
Cl  0.795  0.000  0.578
Pd  0.183  0.000  0.058
Pd  0.183  0.500  0.558
Si  0.028  0.000  0.502
Si  0.028  0.500  0.002
H  0.250  0.000  0.882
H  0.250  0.500  0.382

Output
Energy relative to the lowest polymorph listed for this composition (meV per atom): 177
Total moment (Bohr magnetons per cell): 0.0



Entry 8:
Here is a relaxed structure of SiTeHPdCl from the Alexandria database. Energies are from GGA-PBE.

Unit cell a=7.115 b=4.192 c=8.121 alpha=90.00 beta=103.25 gamma=90.00
Positions (direct):
H  0.963  0.500  0.854
H  0.963  0.000  0.354
Cl  0.160  0.000  0.090
Cl  0.160  0.500  0.590
Pd  0.728  0.500  0.082
Pd  0.728  0.000  0.582
Si  0.897  0.500  0.665
Si  0.897  0.000  0.165
Te  0.620  0.500  0.370
Te  0.620  0.000  0.870

Output
Energy relative to the lowest polymorph listed for this composition (meV per atom): 41
Total moment (Bohr magnetons per cell): 0.0
Fermi-level density of states (states/eV/f.u.): 0.34



Entry 9:
Here is a relaxed structure of SiTeHPdCl from the Alexandria database. Energies are from GGA-PBE.

Unit cell a=4.596 b=4.769 c=6.398 alpha=79.27 beta=82.97 gamma=63.34
Positions (direct):
Cl  0.218  0.508  0.819
Te  0.769  0.254  0.356
Pd  0.101  0.628  0.388
Si  0.893  0.643  0.084
H  0.595  0.900  0.985

Output
Energy relative to the lowest polymorph listed for this composition (meV per atom): 93
Total moment (Bohr magnetons per cell): 0.0
Fermi-level density of states (states/eV/f.u.): 0.22



Entry 10:
Here is a relaxed structure of SiTeHPdCl from the Alexandria database. Energies are from GGA-PBE.

Unit cell a=3.380 b=3.213 c=9.584 alpha=90.00 beta=90.00 gamma=90.00
Positions (direct):
Te  0.000  0.000  0.466
Si  0.500  0.500  0.008
H  0.000  0.000  0.280
Cl  0.500  0.500  0.791
Pd  0.000  0.000  0.087

Output
Energy relative to the lowest polymorph listed for this composition (meV per atom): 109
Total moment (Bohr magnetons per cell): 0.0
Fermi-level density of states (states/eV/f.u.): 1.21



Entry 11:
Here is a relaxed structure of SiTeHPdCl from the Alexandria database. Energies are from GGA-PBE.

Unit cell a=3.882 b=5.183 c=6.379 alpha=80.75 beta=75.72 gamma=87.39
Positions (direct):
H  0.551  0.805  0.134
Pd  0.322  0.520  0.224
Cl  0.035  0.214  0.792
Te  0.760  0.833  0.366
Si  0.878  0.298  0.115

Output
Energy relative to the lowest polymorph listed for this composition (meV per atom): 172
Total moment (Bohr magnetons per cell): 0.0



Entry 12:
Here is a relaxed structure of SiTeHPdCl from the Alexandria database. Energies are from GGA-PBE.

Unit cell a=3.606 b=5.349 c=6.778 alpha=105.61 beta=105.33 gamma=91.19
Positions (direct):
H  0.816  0.999  0.415
Te  0.350  0.065  0.315
Cl  0.040  0.674  0.740
Pd  0.708  0.366  0.125
Si  0.172  0.595  0.037

Output
Energy relative to the lowest polymorph listed for this composition (meV per atom): 203
Total moment (Bohr magnetons per cell): 0.0